Li2PrMg5: relaxed, GGA-PBE.

Cell lengths 3.331, 9.434, 12.043 Å; angles 90.00, 90.00, 90.00 degrees
Space group Immm (No. 71)
Inequivalent atoms, fractional coordinates:
Li: 0.000 0.000 0.249 (multiplicity 4)
Pr: 0.000 0.500 0.500 (multiplicity 2)
Mg: 0.000 0.000 0.500 (multiplicity 2)
Mg: 0.000 0.276 0.137 (multiplicity 8)

- DFT formation energy: -0.031 eV per atom
- V: 23.65 A^3/atom
- Magnetic moment: 0.00 μB/f.u.

Ta2TiRe: relaxed, GGA-PBE.

Cell lengths 4.573, 4.573, 3.204 Å; angles 90.00, 90.00, 90.00 degrees
Space group P4/mmm (No. 123)
Inequivalent atoms, fractional coordinates:
Ta: 0.000 0.500 0.000 (multiplicity 2)
Ti: 0.000 0.000 0.500 (multiplicity 1)
Re: 0.500 0.500 0.500 (multiplicity 1)

- DFT formation energy: -0.199 eV per atom
- V: 16.75 A^3/atom
- Magnetic moment: 0.00 μB/f.u.